An optimized crystal structure of LiMg3Se, computed with GGA-PBE.

Calculated values
magnetic moment	0.00	μB/cell
formation energy (no corrections)	0.031	eV per atom

a b c (Å): 5.1734 5.1734 5.1734
angles (deg): 90.00 90.00 90.00
Closest atoms and distances in Å follow each position.
Atoms (fractional coordinates):
Mg (0.0000, 0.5000, 0.0000)  2 Se 2.59
Mg (0.0000, 0.0000, 0.5000)  2 Se 2.59
Mg (0.5000, 0.0000, 0.0000)  2 Se 2.59
Se (0.0000, 0.0000, 0.0000)  6 Mg 2.59
Li (0.5000, 0.5000, 0.5000)  12 Mg 3.66